[1]
GaPRh | PBE-GGA | optimized geometry

Results
Density of states at the Fermi level, states/eV per cell: 1.056
Crystal system: triclinic
E_form, kJ/mol of formula units: -114.5
Total moment, μB per cell: 0.0
Energy above the lowest structure with this stoichiometry, eV per atom: 0.069

Cell and atoms, written as POSCAR:
```
GaPRh
1.0
4.6804 0.0000 0.0000
2.0821 4.3334 0.0000
0.0720 1.6615 4.7984
Ga P Rh
2 2 2
Cartesian
0.0000 0.0000 0.0000
2.9106 3.3541 3.3022
5.5084 4.2342 2.5211
5.2112 2.4696 1.2201
2.9861 1.7189 1.1937
4.4109 5.2970 4.1635
```

[2]
TbEr2OsC2 | PBE-GGA | optimized geometry

Results
Density of states at the Fermi level, states/eV per cell: 7.676
Crystal system: orthorhombic
E_form, kJ/mol of formula units: -145.5
Total moment, μB per cell: 0.0

Cell and atoms, written as POSCAR:
```
TbEr2OsC2
1.0
5.5636 0.0000 0.0000
0.0000 10.9544 0.0000
0.0000 0.0000 3.6923
Tb Er Os C
2 4 2 4
Cartesian
0.0000 0.0000 0.0000
2.7818 5.4772 1.8461
0.2328 3.2235 1.8461
2.5490 8.7007 0.0000
3.0146 2.2537 0.0000
5.3308 7.7308 1.8461
0.0000 5.4772 0.0000
2.7818 0.0000 1.8461
1.2921 9.6151 1.8461
1.4897 4.1380 0.0000
4.0739 6.8164 0.0000
4.2715 1.3392 1.8461
```

[3]
GaBi2CCl | PBE-GGA | optimized geometry

Results
Density of states at the Fermi level, states/eV per cell: 2.696
Crystal system: tetragonal
Formation energy from raw total energies, eV per formula unit: 4.47
Total moment, μB per cell: 0.0

Cell and atoms, written as POSCAR:
```
GaBi2CCl
1.0
5.0847 0.0000 0.0000
0.0000 5.0847 0.0000
0.0000 0.0000 4.4090
Ga Bi C Cl
1 2 1 1
Cartesian
0.0000 0.0000 0.0000
0.0000 2.5424 2.2045
2.5424 0.0000 2.2045
2.5424 2.5424 2.2045
2.5424 2.5424 0.0000
```

[4]
ErInPt | PBE-GGA | optimized geometry

Results
Density of states at the Fermi level, states/eV per cell: 3.262
Crystal system: orthorhombic
E_form, kJ/mol of formula units: -266.3
Total moment, μB per cell: 0.0

Cell and atoms, written as POSCAR:
```
ErInPt
1.0
2.2822 -4.8559 0.0000
2.2822 4.8559 0.0000
0.0000 0.0000 5.8509
Er In Pt
2 2 2
Cartesian
2.2822 2.9442 4.3882
2.2822 -2.9442 1.4627
2.2822 0.0000 0.0000
2.2822 0.0000 2.9254
2.2822 3.7462 1.4627
2.2822 -3.7462 4.3882
```

[5]
Nb4Ru5Pt | PBE-GGA | optimized geometry

Results
Density of states at the Fermi level, states/eV per cell: 6.110
Crystal system: monoclinic
E_form, kJ/mol of formula units: -293.4
Total moment, μB per cell: 0.0

Cell and atoms, written as POSCAR:
```
Nb4Ru5Pt
1.0
7.2433 -2.0928 0.0000
7.2433 2.0928 0.0000
-1.7647 0.0000 5.2293
Nb Ru Pt
4 5 1
Cartesian
0.6314 0.0000 1.8611
2.8236 0.0000 4.5276
9.8984 0.0000 0.7017
12.0906 0.0000 3.3682
0.1196 0.0000 4.4790
3.6235 0.0000 1.9851
6.3610 0.0000 2.6147
9.0985 0.0000 3.2442
12.6024 0.0000 0.7503
7.2433 0.0000 0.0000
```

[6]
LiHfTlPd | PBE-GGA | optimized geometry

Results
Density of states at the Fermi level, states/eV per cell: 0.005
Crystal system: cubic
E_form, kJ/mol of formula units: -130.2
Total moment, μB per cell: 0.0

Cell and atoms, written as POSCAR:
```
LiHfTlPd
1.0
0.0000 3.2764 3.2764
3.2764 0.0000 3.2764
3.2764 3.2764 0.0000
Li Hf Tl Pd
1 1 1 1
Cartesian
0.0000 0.0000 0.0000
1.6382 1.6382 1.6382
4.9147 4.9147 4.9147
3.2764 3.2764 3.2764
```

[7]
AcPm5Pr2Er | PBE-GGA | optimized geometry

Results
Density of states at the Fermi level, states/eV per cell: 22.387
Crystal system: tetragonal
E_form, kJ/mol of formula units: 221.5
Total moment, μB per cell: 0.0

Cell and atoms, written as POSCAR:
```
AcPm5Pr2Er
1.0
-4.4974 4.4974 7.9860
4.4974 -4.4974 7.9860
4.4974 4.4974 -7.9860
Ac Pm Pr Er
2 10 4 2
Cartesian
0.0000 0.0000 3.9930
0.0000 0.0000 11.9790
0.0000 0.0000 0.0000
6.3517 1.8543 -2.1526
1.8543 2.6431 -2.1526
6.3517 1.8543 2.1526
1.8543 2.6431 2.1526
0.0000 0.0000 7.9860
2.6431 1.8543 5.8333
-1.8543 2.6431 5.8333
2.6431 1.8543 10.1386
-1.8543 2.6431 10.1386
3.4383 1.0592 0.0000
3.4383 -1.0592 7.9860
1.0592 5.5566 0.0000
1.0592 3.4383 7.9860
4.4974 0.0000 3.9930
0.0000 4.4974 3.9930
```

[8]
SrNi12As6 | PBE-GGA | optimized geometry

Results
Density of states at the Fermi level, states/eV per cell: 11.114
Crystal system: trigonal
E_form, kJ/mol of formula units: -466.4
Total moment, μB per cell: 0.0

Cell and atoms, written as POSCAR:
```
SrNi12As6
1.0
5.3261 3.0750 2.8360
-5.3261 3.0750 2.8360
0.0000 -6.1500 2.8360
Sr Ni As
1 12 6
Cartesian
0.0000 0.0000 0.0000
-1.9690 -3.4103 4.2540
-3.9379 0.0000 4.2540
-1.5570 -0.8989 3.0606
1.5570 -0.8989 3.0606
0.0000 1.7979 3.0606
1.9690 -3.4103 4.2540
-1.9690 3.4103 4.2540
0.0000 -1.7979 5.4474
-1.5570 0.8989 5.4474
1.5570 0.8989 5.4474
3.9379 0.0000 4.2540
1.9690 3.4103 4.2540
0.0000 -2.6516 3.2226
-2.2963 1.3258 3.2226
-2.2963 -1.3258 5.2854
2.2963 1.3258 3.2226
2.2963 -1.3258 5.2854
0.0000 2.6516 5.2854
```

[9]
CrGa3S | PBE-GGA | optimized geometry

Results
Density of states at the Fermi level, states/eV per cell: 6.569
Crystal system: cubic
Formation energy from raw total energies, eV per formula unit: 5.40
Total moment, μB per cell: 0.2
Energy above the lowest structure with this stoichiometry, eV per atom: 0.601

Cell and atoms, written as POSCAR:
```
CrGa3S
1.0
4.7086 0.0000 0.0000
0.0000 4.7086 0.0000
0.0000 0.0000 4.7086
Cr Ga S
1 3 1
Cartesian
0.0000 0.0000 0.0000
0.0000 2.3543 2.3543
2.3543 0.0000 2.3543
2.3543 2.3543 0.0000
2.3543 2.3543 2.3543
```

[10]
KZrW2 | PBE-GGA | optimized geometry

Results
Density of states at the Fermi level, states/eV per cell: 3.467
Crystal system: tetragonal
E_form, kJ/mol of formula units: 375.0
Total moment, μB per cell: 0.0
Energy above the lowest structure with this stoichiometry, eV per atom: 0.288

Cell and atoms, written as POSCAR:
```
KZrW2
1.0
2.7713 0.0000 0.0000
0.0000 2.7713 0.0000
0.0000 0.0000 11.0267
K Zr W
1 1 2
Cartesian
0.0000 0.0000 0.0000
0.0000 0.0000 5.5133
1.3856 1.3856 3.1224
1.3856 1.3856 7.9042
```

[11]
Dy4Ga2Br5 | PBE-GGA | optimized geometry

Results
Density of states at the Fermi level, states/eV per cell: 3.555
Crystal system: monoclinic
Formation energy from raw total energies, eV per formula unit: -13.07
Total moment, μB per cell: 0.0

Cell and atoms, written as POSCAR:
```
Dy4Ga2Br5
1.0
11.7083 -1.9619 0.0000
11.7083 1.9619 0.0000
-1.1691 0.0000 8.1510
Dy Ga Br
4 2 5
Cartesian
0.1132 0.0000 2.3129
7.2780 0.0000 4.4863
14.9695 0.0000 3.6647
22.1342 0.0000 5.8381
9.9189 0.0000 3.6592
12.3285 0.0000 4.4918
3.0196 0.0000 1.5907
4.3470 0.0000 5.4695
11.7083 0.0000 0.0000
17.9004 0.0000 2.6815
19.2279 0.0000 6.5603
```

[12]
Ac2La2NdSm4 | PBE-GGA | optimized geometry

Results
Density of states at the Fermi level, states/eV per cell: 13.247
Crystal system: monoclinic
E_form, kJ/mol of formula units: 20.4
Total moment, μB per cell: 0.0

Cell and atoms, written as POSCAR:
```
Ac2La2NdSm4
1.0
9.7649 -1.8955 0.0000
9.7649 1.8955 0.0000
-4.3788 0.0000 9.0454
Ac La Nd Sm
2 2 1 4
Cartesian
2.1334 0.0000 1.4726
13.0175 0.0000 7.5728
4.3610 0.0000 4.4843
10.7900 0.0000 4.5611
-2.1894 0.0000 4.5227
-0.0587 0.0000 7.5431
8.6161 0.0000 1.6029
6.5348 0.0000 7.4425
15.2096 0.0000 1.5023
```

Results for V: 16.2 18.8 22.8 21.6 15.9 17.6 35.9 14.7 20.9 21.2 34.0 37.2 (in Å³ per atom, following the order of the records).